(1)
# NaCa2HRh

A geometry-optimized NaCa2HRh structure (GGA-PBE, Alexandria via LeMat-Bulk).

Cell and atoms, written as CIF:
```
data_NaCa2HRh
_chemical_formula_sum 'Na1 Ca2 H1 Rh1'
_cell_length_a 5.209
_cell_length_b 5.209
_cell_length_c 3.761
_cell_angle_alpha 90.00
_cell_angle_beta 90.00
_cell_angle_gamma 90.00
_space_group_name_H-M_alt 'P 4/m m m'
_space_group_IT_number 123
_space_group_name_Hall '-P 4 2'
loop_
_atom_site_label
_atom_site_type_symbol
_atom_site_fract_x
_atom_site_fract_y
_atom_site_fract_z
Na1 Na 0.000 0.000 0.000
Ca1 Ca 0.000 0.500 0.500
H1 H 0.500 0.500 0.500
Rh1 Rh 0.500 0.500 0.000
```

(2)
# NaCa4H12Rh3

A geometry-optimized NaCa4H12Rh3 structure (GGA-PBE, Alexandria via LeMat-Bulk).

Cell and atoms, written as CIF:
```
data_NaCa4H12Rh3
_chemical_formula_sum 'Na2 Ca8 H24 Rh6'
_cell_length_a 7.443
_cell_length_b 7.443
_cell_length_c 7.443
_cell_angle_alpha 90.00
_cell_angle_beta 90.00
_cell_angle_gamma 90.00
_space_group_name_H-M_alt 'I m -3 m'
_space_group_IT_number 229
_space_group_name_Hall '-I 4 2 3'
loop_
_atom_site_label
_atom_site_type_symbol
_atom_site_fract_x
_atom_site_fract_y
_atom_site_fract_z
Na1 Na 0.000 0.000 0.000
Ca1 Ca 0.250 0.250 0.250
H1 H 0.000 0.000 0.272
H2 H 0.000 0.250 0.500
Rh1 Rh 0.000 0.000 0.500
```

(3)
# NaCa2HRh

A geometry-optimized NaCa2HRh structure (GGA-PBE, Alexandria via LeMat-Bulk).

Cell and atoms, written as CIF:
```
data_NaCa2HRh
_chemical_formula_sum 'Na1 Ca2 H1 Rh1'
_cell_length_a 4.798
_cell_length_b 4.798
_cell_length_c 4.251
_cell_angle_alpha 90.00
_cell_angle_beta 90.00
_cell_angle_gamma 90.00
_space_group_name_H-M_alt 'P 4/m m m'
_space_group_IT_number 123
_space_group_name_Hall '-P 4 2'
loop_
_atom_site_label
_atom_site_type_symbol
_atom_site_fract_x
_atom_site_fract_y
_atom_site_fract_z
Na1 Na 0.000 0.000 0.000
Ca1 Ca 0.000 0.500 0.500
H1 H 0.000 0.000 0.500
Rh1 Rh 0.500 0.500 0.000
```

(4)
# NaCaH4Rh

A geometry-optimized NaCaH4Rh structure (GGA-PBE, Alexandria via LeMat-Bulk).

Cell and atoms, written as CIF:
```
data_NaCaH4Rh
_chemical_formula_sum 'Na2 Ca2 H8 Rh2'
_cell_length_a 3.788
_cell_length_b 3.788
_cell_length_c 11.077
_cell_angle_alpha 90.00
_cell_angle_beta 90.00
_cell_angle_gamma 90.00
_space_group_name_H-M_alt 'I 4 m m'
_space_group_IT_number 107
_space_group_name_Hall 'I 4 -2'
loop_
_atom_site_label
_atom_site_type_symbol
_atom_site_fract_x
_atom_site_fract_y
_atom_site_fract_z
Na1 Na 0.000 0.000 0.000
Ca1 Ca 0.000 0.000 0.730
H1 H 0.000 0.000 0.202
H2 H 0.000 0.000 0.518
H3 H 0.000 0.500 0.360
Rh1 Rh 0.000 0.000 0.357
```

(5)
# Na2Ca4Sb3H2

A geometry-optimized Na2Ca4Sb3H2 structure (GGA-PBE, Alexandria via LeMat-Bulk).

Cell and atoms, written as CIF:
```
data_Na2Ca4Sb3H2
_chemical_formula_sum 'Na4 Ca8 Sb6 H4'
_cell_length_a 4.998
_cell_length_b 4.998
_cell_length_c 24.086
_cell_angle_alpha 90.00
_cell_angle_beta 90.00
_cell_angle_gamma 90.00
_space_group_name_H-M_alt 'I 4/m m m'
_space_group_IT_number 139
_space_group_name_Hall '-I 4 2'
loop_
_atom_site_label
_atom_site_type_symbol
_atom_site_fract_x
_atom_site_fract_y
_atom_site_fract_z
Na1 Na 0.000 0.000 0.203
Ca1 Ca 0.000 0.500 0.086
Sb1 Sb 0.000 0.000 0.334
Sb2 Sb 0.000 0.000 0.500
H1 H 0.000 0.000 0.090
```

(6)
# NaCa3Sb2H

A geometry-optimized NaCa3Sb2H structure (GGA-PBE, Alexandria via LeMat-Bulk).

Cell and atoms, written as CIF:
```
data_NaCa3Sb2H
_chemical_formula_sum 'Na2 Ca6 Sb4 H2'
_cell_length_a 4.559
_cell_length_b 4.717
_cell_length_c 16.801
_cell_angle_alpha 90.00
_cell_angle_beta 90.00
_cell_angle_gamma 90.00
_space_group_name_H-M_alt 'I m m m'
_space_group_IT_number 71
_space_group_name_Hall '-I 2 2'
loop_
_atom_site_label
_atom_site_type_symbol
_atom_site_fract_x
_atom_site_fract_y
_atom_site_fract_z
Na1 Na 0.000 0.000 0.000
Ca1 Ca 0.000 0.000 0.500
Ca2 Ca 0.000 0.500 0.326
Sb1 Sb 0.000 0.500 0.137
H1 H 0.000 0.500 0.500
```

Number 1: calculated total energy -3.401 eV per atom, total magnetic moment 0.000 μB/f.u.. Number 2: calculated total energy -4.087 eV per atom, total magnetic moment 0.000 μB/f.u.. Number 3: calculated total energy -3.354 eV per atom, total magnetic moment 0.000 μB/f.u.. Number 4: calculated total energy -3.839 eV per atom, total magnetic moment 0.000 μB/f.u.. Number 5: calculated total energy -3.356 eV per atom, total magnetic moment 0.000 μB/f.u.. Number 6: calculated total energy -3.554 eV per atom, total magnetic moment 0.000 μB/f.u..